(1)
Computed, not measured: crystalline Rb2IrCl4F2 at its relaxed geometry at the PBE-GGA level of DFT.

Lattice parameters (Å, degrees): 6.646 6.769 6.769 63.71 64.71 64.71
Fractional coordinates of all 9 atoms:
F  0.738  0.807  0.807
F  0.262  0.193  0.193
Cl  0.709  0.269  0.801
Cl  0.291  0.731  0.199
Cl  0.709  0.801  0.269
Cl  0.291  0.199  0.731
Rb  0.780  0.265  0.265
Rb  0.220  0.735  0.735
Ir  0.500  0.000  0.000

Output
Raw formation energy, meV/atom: -1507
Fermi-level density of states, states/eV per cell: 7.36

(2)
Computed, not measured: crystalline IrRhClF2 at its relaxed geometry at the PBE-GGA level of DFT.

Lattice parameters (Å, degrees): 4.076 5.051 4.076 90.00 90.00 90.00
Fractional coordinates of all 5 atoms:
Rh  0.500  0.500  0.500
F  0.000  0.000  0.500
F  0.500  0.000  0.000
Cl  0.000  0.500  0.000
Ir  0.000  0.000  0.000

Output
Raw formation energy, meV/atom: 72
Fermi-level density of states, states/eV per cell: 3.17

(3)
Computed, not measured: crystalline IrSCl2F at its relaxed geometry at the PBE-GGA level of DFT.

Lattice parameters (Å, degrees): 5.264 5.264 3.558 90.00 90.00 90.00
Fractional coordinates of all 5 atoms:
Cl  0.500  0.000  0.000
Cl  0.000  0.500  0.000
Ir  0.500  0.500  0.500
F  0.000  0.000  0.000
S  0.000  0.000  0.500

Output
Raw formation energy, meV/atom: 1098
Fermi-level density of states, states/eV per cell: 5.64

(4)
Computed, not measured: crystalline IrSCl2F at its relaxed geometry at the PBE-GGA level of DFT.

Lattice parameters (Å, degrees): 4.843 4.843 4.408 90.00 90.00 90.00
Fractional coordinates of all 5 atoms:
Cl  0.000  0.500  0.000
Cl  0.500  0.000  0.000
Ir  0.000  0.000  0.000
F  0.500  0.500  0.500
S  0.000  0.000  0.500

Output
Raw formation energy, meV/atom: 143
Fermi-level density of states, states/eV per cell: 7.70

(5)
Computed, not measured: crystalline ScIr2ClF at its relaxed geometry at the PBE-GGA level of DFT.

Lattice parameters (Å, degrees): 4.355 4.784 4.355 90.00 90.00 90.00
Fractional coordinates of all 5 atoms:
Cl  0.000  0.000  0.000
Sc  0.500  0.500  0.500
F  0.000  0.500  0.000
Ir  0.500  0.000  0.000
Ir  0.000  0.000  0.500

Output
Raw formation energy, meV/atom: 268
Fermi-level density of states, states/eV per cell: 5.95

(6)
Computed, not measured: crystalline ScIrCl2F at its relaxed geometry at the PBE-GGA level of DFT.

Lattice parameters (Å, degrees): 4.690 5.056 4.690 90.00 90.00 90.00
Fractional coordinates of all 5 atoms:
F  0.500  0.500  0.500
Cl  0.500  0.000  0.000
Cl  0.000  0.000  0.500
Sc  0.000  0.500  0.000
Ir  0.000  0.000  0.000

Output
Raw formation energy, meV/atom: -555
Fermi-level density of states, states/eV per cell: 1.72

(7)
Computed, not measured: crystalline ScIr2ClF at its relaxed geometry at the PBE-GGA level of DFT.

Lattice parameters (Å, degrees): 4.092 5.093 4.092 90.00 90.00 90.00
Fractional coordinates of all 5 atoms:
Sc  0.500  0.500  0.500
Cl  0.000  0.500  0.000
Ir  0.000  0.000  0.500
Ir  0.500  0.000  0.000
F  0.000  0.000  0.000

Output
Raw formation energy, meV/atom: 210
Fermi-level density of states, states/eV per cell: 2.36

(8)
Computed, not measured: crystalline Ta2IrClF at its relaxed geometry at the PBE-GGA level of DFT.

Lattice parameters (Å, degrees): 4.194 4.600 4.194 90.00 90.00 90.00
Fractional coordinates of all 5 atoms:
Cl  0.000  0.500  0.000
F  0.000  0.000  0.000
Ta  0.000  0.000  0.500
Ta  0.500  0.000  0.000
Ir  0.500  0.500  0.500

Output
Raw formation energy, meV/atom: 490
Fermi-level density of states, states/eV per cell: 5.69

(9)
Computed, not measured: crystalline Tl2IrCl4F2 at its relaxed geometry at the PBE-GGA level of DFT.

Lattice parameters (Å, degrees): 6.663 6.645 6.645 64.36 64.33 64.33
Fractional coordinates of all 9 atoms:
Tl  0.777  0.269  0.269
Tl  0.223  0.731  0.731
Ir  0.500  0.000  0.000
F  0.752  0.803  0.803
F  0.248  0.197  0.197
Cl  0.301  0.721  0.191
Cl  0.699  0.279  0.809
Cl  0.699  0.809  0.279
Cl  0.301  0.191  0.721

Output
Raw formation energy, meV/atom: -1064
Fermi-level density of states, states/eV per cell: 7.03

(10)
Computed, not measured: crystalline Zr2IrClF at its relaxed geometry at the PBE-GGA level of DFT.

Lattice parameters (Å, degrees): 4.411 4.598 4.411 90.00 90.00 90.00
Fractional coordinates of all 5 atoms:
Zr  0.000  0.000  0.500
Zr  0.500  0.000  0.000
F  0.000  0.000  0.000
Ir  0.500  0.500  0.500
Cl  0.000  0.500  0.000

Output
Raw formation energy, meV/atom: -407
Fermi-level density of states, states/eV per cell: 4.52

(11)
Computed, not measured: crystalline K8ClF6 at its relaxed geometry at the PBE-GGA level of DFT.

Lattice parameters (Å, degrees): 4.002 10.229 10.229 120.00 90.00 90.00
Fractional coordinates of all 15 atoms:
F  0.247  0.524  0.662
F  0.753  0.662  0.138
F  0.247  0.138  0.476
F  0.247  0.338  0.862
F  0.753  0.476  0.338
F  0.753  0.862  0.524
K  0.746  0.962  0.308
K  0.746  0.346  0.038
K  0.751  0.333  0.667
K  0.254  0.038  0.692
K  0.746  0.692  0.654
K  0.254  0.308  0.346
K  0.254  0.654  0.962
K  0.249  0.667  0.333
Cl  0.500  0.000  0.000

Output
Raw formation energy, meV/atom: -2305
Fermi-level density of states, states/eV per cell: 1.71

(12)
Computed, not measured: crystalline KClF at its relaxed geometry at the PBE-GGA level of DFT.

Lattice parameters (Å, degrees): 3.907 4.547 4.547 120.00 90.00 90.00
Fractional coordinates of all 3 atoms:
Cl  0.167  0.333  0.667
K  0.666  0.667  0.333
F  0.167  0.000  0.000

Output
Raw formation energy, meV/atom: -1368
Fermi-level density of states, states/eV per cell: 1.13

Question: Which formula does entry 3 have?
Answer: IrSCl2F